Material: TaCo6Ge
Method: DFT, PBE
State: relaxed

**Energy of formation from the pure elements**: -132 meV per atom
**ρ**: 10.72 Mg/m³
**Total moment**: 36.72 μB/cell

a = 7.1723 Å, b = 10.2622 Å, c = 10.2213 Å
α = 90.00°, β = 90.00°, γ = 90.00°
Space group Cmmm (No. 65)
Unique sites:
Ta 0.0000 0.0000 0.2502
Ta 0.0000 0.2417 0.0000
Co 0.0000 0.0000 0.0000
Co 0.0000 0.0000 0.5000
Co 0.0000 0.2510 0.2541
Co 0.0000 0.5000 0.0000
Co 0.0000 0.5000 0.5000
Co 0.2427 0.3741 0.3774
Co 0.2434 0.3762 0.1273
Ge 0.0000 0.2386 0.5000
Ge 0.0000 0.5000 0.2507